Record 1
# Mg2ScTa | the Alexandria database | PBE-GGA | optimized geometry
# energy relative to the lowest polymorph listed for this composition = 0.73 eV/f.u.
# total magnetization = 0.0 μB/cell
# energy = -5.089 eV per atom
# calculated formation energy = 0.25 eV per atom
# density of states at the Fermi level = 1.035 states/eV per atom
data_Mg2ScTa
_cell_length_a 6.042
_cell_length_b 9.093
_cell_length_c 2.984
_cell_angle_alpha 90.00
_cell_angle_beta 90.00
_cell_angle_gamma 90.00
_symmetry_space_group_name_H-M 'P 1'
_symmetry_Int_Tables_number 1
_symmetry_space_group_name_Hall 'P 1'
loop_
_atom_site_label
_atom_site_type_symbol
_atom_site_fract_x
_atom_site_fract_y
_atom_site_fract_z
Mg1 Mg 0.250 0.250 0.000
Mg2 Mg 0.250 0.750 0.000
Mg3 Mg 0.750 0.250 0.000
Mg4 Mg 0.750 0.750 0.000
Sc1 Sc 0.000 0.000 0.500
Sc2 Sc 0.500 0.500 0.500
Ta1 Ta 0.000 0.500 0.500
Ta2 Ta 0.500 0.000 0.500

---

Record 2
# LaBi3Rh2 | the Alexandria database | PBE-GGA | optimized geometry
# total magnetization = 0.0 μB/cell
# energy = -5.664 eV per atom
# calculated formation energy = -0.45 eV per atom
# density of states at the Fermi level = 0.612 states/eV per atom
data_LaBi3Rh2
_cell_length_a 4.582
_cell_length_b 8.591
_cell_length_c 7.497
_cell_angle_alpha 90.00
_cell_angle_beta 90.00
_cell_angle_gamma 90.00
_symmetry_space_group_name_H-M 'P 1'
_symmetry_Int_Tables_number 1
_symmetry_space_group_name_Hall 'P 1'
loop_
_atom_site_label
_atom_site_type_symbol
_atom_site_fract_x
_atom_site_fract_y
_atom_site_fract_z
La1 La 0.000 0.072 0.000
La2 La 0.000 0.928 0.500
Bi1 Bi 0.000 0.341 0.628
Bi2 Bi 0.000 0.659 0.128
Bi3 Bi 0.500 0.168 0.334
Bi4 Bi 0.500 0.392 0.975
Bi5 Bi 0.500 0.608 0.475
Bi6 Bi 0.500 0.832 0.834
Rh1 Rh 0.000 0.336 0.235
Rh2 Rh 0.000 0.664 0.735
Rh3 Rh 0.500 0.150 0.719
Rh4 Rh 0.500 0.850 0.219

---

Record 3
# ScInHg | the Alexandria database | PBE-GGA | optimized geometry
# energy relative to the lowest polymorph listed for this composition = 0.00 eV/f.u.
# total magnetization = 0.0 μB/cell
# energy = -3.443 eV per atom
# calculated formation energy = -0.32 eV per atom
# density of states at the Fermi level = 0.385 states/eV per atom
data_ScInHg
_cell_length_a 4.984
_cell_length_b 8.633
_cell_length_c 6.240
_cell_angle_alpha 90.00
_cell_angle_beta 90.29
_cell_angle_gamma 90.00
_symmetry_space_group_name_H-M 'P 1'
_symmetry_Int_Tables_number 1
_symmetry_space_group_name_Hall 'P 1'
loop_
_atom_site_label
_atom_site_type_symbol
_atom_site_fract_x
_atom_site_fract_y
_atom_site_fract_z
Sc1 Sc 0.000 0.167 0.250
Sc2 Sc 0.000 0.833 0.750
Sc3 Sc 0.500 0.333 0.750
Sc4 Sc 0.500 0.667 0.250
In1 In 0.000 0.500 0.000
In2 In 0.000 0.500 0.500
In3 In 0.500 0.000 0.000
In4 In 0.500 0.000 0.500
Hg1 Hg 0.000 0.166 0.750
Hg2 Hg 0.000 0.834 0.250
Hg3 Hg 0.500 0.334 0.250
Hg4 Hg 0.500 0.666 0.750

---

Record 4
# ScCo3Sn | the Alexandria database | PBE-GGA | optimized geometry
# energy relative to the lowest polymorph listed for this composition = 0.00 eV/f.u.
# total magnetization = 3.0 μB/cell
# energy = -5.443 eV per atom
# calculated formation energy = 0.89 eV per atom
# density of states at the Fermi level = 0.868 states/eV per atom
data_ScCo3Sn
_cell_length_a 4.623
_cell_length_b 4.623
_cell_length_c 4.623
_cell_angle_alpha 90.00
_cell_angle_beta 90.00
_cell_angle_gamma 90.00
_symmetry_space_group_name_H-M 'P 1'
_symmetry_Int_Tables_number 1
_symmetry_space_group_name_Hall 'P 1'
loop_
_atom_site_label
_atom_site_type_symbol
_atom_site_fract_x
_atom_site_fract_y
_atom_site_fract_z
Sc1 Sc 0.000 0.000 0.000
Co1 Co 0.000 0.500 0.500
Co2 Co 0.500 0.000 0.500
Co3 Co 0.500 0.500 0.000
Sn1 Sn 0.500 0.500 0.500

---

Record 5
# MgSiTe2 | the Alexandria database | PBE-GGA | optimized geometry
# energy relative to the lowest polymorph listed for this composition = 0.19 eV/f.u.
# total magnetization = 0.0 μB/cell
# energy = -3.574 eV per atom
# density of states at the Fermi level = 0.183 states/eV per atom
# formation energy without anion corrections = -249 meV per atom
data_MgSiTe2
_cell_length_a 7.284
_cell_length_b 4.206
_cell_length_c 7.223
_cell_angle_alpha 90.00
_cell_angle_beta 109.71
_cell_angle_gamma 90.00
_symmetry_space_group_name_H-M 'P 1'
_symmetry_Int_Tables_number 1
_symmetry_space_group_name_Hall 'P 1'
loop_
_atom_site_label
_atom_site_type_symbol
_atom_site_fract_x
_atom_site_fract_y
_atom_site_fract_z
Mg1 Mg 0.000 0.000 0.000
Mg2 Mg 0.500 0.500 0.000
Si1 Si 0.000 0.500 0.500
Si2 Si 0.500 0.000 0.500
Te1 Te 0.248 0.000 0.743
Te2 Te 0.252 0.500 0.257
Te3 Te 0.748 0.500 0.743
Te4 Te 0.752 0.000 0.257

---

Record 6
# Tl10SnHg6 | the Alexandria database | PBE-GGA | optimized geometry
# total magnetization = 0.0 μB/cell
# energy = -1.714 eV per atom
# calculated formation energy = 0.02 eV per atom
# density of states at the Fermi level = 0.557 states/eV per atom
data_Tl10SnHg6
_cell_length_a 9.568
_cell_length_b 9.568
_cell_length_c 6.454
_cell_angle_alpha 90.00
_cell_angle_beta 90.00
_cell_angle_gamma 120.00
_symmetry_space_group_name_H-M 'P 1'
_symmetry_Int_Tables_number 1
_symmetry_space_group_name_Hall 'P 1'
loop_
_atom_site_label
_atom_site_type_symbol
_atom_site_fract_x
_atom_site_fract_y
_atom_site_fract_z
Tl1 Tl 0.000 0.271 0.213
Tl2 Tl 0.000 0.729 0.787
Tl3 Tl 0.271 0.000 0.213
Tl4 Tl 0.271 0.271 0.787
Tl5 Tl 0.333 0.667 0.000
Tl6 Tl 0.333 0.667 0.500
Tl7 Tl 0.667 0.333 0.000
Tl8 Tl 0.667 0.333 0.500
Tl9 Tl 0.729 0.000 0.787
Tl10 Tl 0.729 0.729 0.213
Sn1 Sn 0.000 0.000 0.500
Hg1 Hg 0.000 0.382 0.719
Hg2 Hg 0.000 0.618 0.281
Hg3 Hg 0.382 0.000 0.719
Hg4 Hg 0.382 0.382 0.281
Hg5 Hg 0.618 0.000 0.281
Hg6 Hg 0.618 0.618 0.719

---

Q: Look up the energy of the sixth one.
A: -1.714 eV per atom

---

What did the fifth record say?
# MgSiTe2 | the Alexandria database | PBE-GGA | optimized geometry
# energy relative to the lowest polymorph listed for this composition = 0.19 eV/f.u.
# total magnetization = 0.0 μB/cell
# energy = -3.574 eV per atom
# density of states at the Fermi level = 0.183 states/eV per atom
# formation energy without anion corrections = -249 meV per atom
data_MgSiTe2
_cell_length_a 7.284
_cell_length_b 4.206
_cell_length_c 7.223
_cell_angle_alpha 90.00
_cell_angle_beta 109.71
_cell_angle_gamma 90.00
_symmetry_space_group_name_H-M 'P 1'
_symmetry_Int_Tables_number 1
_symmetry_space_group_name_Hall 'P 1'
loop_
_atom_site_label
_atom_site_type_symbol
_atom_site_fract_x
_atom_site_fract_y
_atom_site_fract_z
Mg1 Mg 0.000 0.000 0.000
Mg2 Mg 0.500 0.500 0.000
Si1 Si 0.000 0.500 0.500
Si2 Si 0.500 0.000 0.500
Te1 Te 0.248 0.000 0.743
Te2 Te 0.252 0.500 0.257
Te3 Te 0.748 0.500 0.743
Te4 Te 0.752 0.000 0.257